A plane-wave DFT calculation with PBE+U was carried out for an optimized crystal structure of VCdOF2.

## Properties
N(E_F) in states/eV/atom: 1.778
Volume in Å³/atom: 15.96
ΔE to the lowest computed polymorph in meV/atom: 905

```
VCdOF2
1.0
4.290 0.000 0.000
0.000 4.290 0.000
0.000 0.000 4.336
V Cd O F
1 1 1 2
Cartesian
0.000 0.000 0.000 V
2.145 2.145 2.168 Cd
2.145 2.145 0.000 O
0.000 2.145 2.168 F
2.145 0.000 2.168 F
```